# Mn2SiIrS | the Alexandria database | PBE | relaxed
data_Mn2SiIrS
_chemical_formula_sum 'Mn2 Si1 Ir1 S1'
_symmetry_space_group_name_H-M 'P 1'
_symmetry_Int_Tables_number 1
_cell_length_a 4.101
_cell_length_b 2.929
_cell_length_c 6.150
_cell_angle_alpha 90.00
_cell_angle_beta 105.39
_cell_angle_gamma 90.00
loop_
_symmetry_equiv_pos_as_xyz
'x,y,z'
loop_
_atom_site_label
_atom_site_fract_x
_atom_site_fract_y
_atom_site_fract_z
Si1 0.809 0.000 0.232
S1 0.480 0.500 0.742
Mn1 0.920 0.500 0.585
Mn2 0.281 0.000 0.942
Ir1 0.310 0.500 0.293
# Formation energy without anion corrections   -23 kJ/mol of atoms
# Spin magnetization   0.71 μB/cell
# Distance to the lowest polymorph of the same formula   55 meV/atom
# V   71 Å³/f.u.

---

# ZrZnSN2 | the Alexandria database | PBE | relaxed
data_ZrZnSN2
_chemical_formula_sum 'Zr1 Zn1 S1 N2'
_symmetry_space_group_name_H-M 'P 1'
_symmetry_Int_Tables_number 1
_cell_length_a 3.842
_cell_length_b 3.842
_cell_length_c 4.650
_cell_angle_alpha 90.00
_cell_angle_beta 90.00
_cell_angle_gamma 90.00
loop_
_symmetry_equiv_pos_as_xyz
'x,y,z'
loop_
_atom_site_label
_atom_site_fract_x
_atom_site_fract_y
_atom_site_fract_z
S1 0.000 0.000 0.500
N1 0.000 0.500 0.000
N2 0.500 0.000 0.000
Zr1 0.500 0.500 0.500
Zn1 0.000 0.000 0.000
# Formation energy without anion corrections   64 kJ/mol of atoms
# Spin magnetization   0.00 μB/cell
# Distance to the lowest polymorph of the same formula   298 meV/atom
# V   69 Å³/f.u.

---

# V2HgC | the Alexandria database | PBE | relaxed
data_V2HgC
_chemical_formula_sum 'V4 Hg2 C2'
_symmetry_space_group_name_H-M 'P 1'
_symmetry_Int_Tables_number 1
_cell_length_a 6.222
_cell_length_b 6.222
_cell_length_c 5.305
_cell_angle_alpha 54.10
_cell_angle_beta 54.10
_cell_angle_gamma 90.00
loop_
_symmetry_equiv_pos_as_xyz
'x,y,z'
loop_
_atom_site_label
_atom_site_fract_x
_atom_site_fract_y
_atom_site_fract_z
V1 0.875 0.779 0.750
V2 0.529 0.125 0.250
V3 0.221 0.625 0.250
V4 0.375 0.471 0.750
Hg1 0.000 0.000 0.000
Hg2 0.750 0.250 0.500
C1 0.500 0.500 0.000
C2 0.250 0.750 0.500
# DFT total energy   -52.213 eV/cell
# Spin magnetization   0.00 μB/cell
# V   57 Å³/f.u.

---

# PaPCl3 | the Alexandria database | PBE | relaxed
data_PaPCl3
_chemical_formula_sum 'Pa2 P2 Cl6'
_symmetry_space_group_name_H-M 'P 1'
_symmetry_Int_Tables_number 1
_cell_length_a 7.350
_cell_length_b 7.350
_cell_length_c 6.996
_cell_angle_alpha 103.50
_cell_angle_beta 117.67
_cell_angle_gamma 109.62
loop_
_symmetry_equiv_pos_as_xyz
'x,y,z'
loop_
_atom_site_label
_atom_site_fract_x
_atom_site_fract_y
_atom_site_fract_z
P1 0.630 0.052 0.682
P2 0.370 0.948 0.318
Cl1 0.861 0.024 0.261
Cl2 0.763 0.600 0.739
Cl3 0.237 0.400 0.261
Cl4 0.293 0.558 0.850
Cl5 0.707 0.442 0.150
Cl6 0.139 0.976 0.739
Pa1 0.632 0.737 0.369
Pa2 0.368 0.263 0.631
# Formation energy without anion corrections   -139 kJ/mol of atoms
# Spin magnetization   2.05 μB/cell
# V   139 Å³/f.u.

---

# PmMg2Ga2Au2 | the Alexandria database | PBE | relaxed
data_PmMg2Ga2Au2
_chemical_formula_sum 'Pm1 Mg2 Ga2 Au2'
_symmetry_space_group_name_H-M 'P 1'
_symmetry_Int_Tables_number 1
_cell_length_a 4.480
_cell_length_b 4.480
_cell_length_c 8.851
_cell_angle_alpha 75.34
_cell_angle_beta 75.34
_cell_angle_gamma 60.00
loop_
_symmetry_equiv_pos_as_xyz
'x,y,z'
loop_
_atom_site_label
_atom_site_fract_x
_atom_site_fract_y
_atom_site_fract_z
Mg1 0.134 0.134 0.597
Mg2 0.866 0.866 0.403
Au1 0.246 0.246 0.261
Au2 0.754 0.754 0.739
Ga1 0.595 0.595 0.216
Ga2 0.405 0.405 0.784
Pm1 0.000 0.000 0.000
# DFT total energy   -24.540 eV/cell
# Spin magnetization   0.00 μB/cell
# V   147 Å³/f.u.

---

# Ag2MoCl | the Alexandria database | PBE | relaxed
data_Ag2MoCl
_chemical_formula_sum 'Ag2 Mo1 Cl1'
_symmetry_space_group_name_H-M 'P 1'
_symmetry_Int_Tables_number 1
_cell_length_a 9.059
_cell_length_b 9.059
_cell_length_c 9.059
_cell_angle_alpha 19.20
_cell_angle_beta 19.20
_cell_angle_gamma 19.20
loop_
_symmetry_equiv_pos_as_xyz
'x,y,z'
loop_
_atom_site_label
_atom_site_fract_x
_atom_site_fract_y
_atom_site_fract_z
Cl1 0.250 0.250 0.250
Ag1 0.502 0.502 0.502
Ag2 0.998 0.998 0.998
Mo1 0.750 0.750 0.750
# Formation energy without anion corrections   33 kJ/mol of atoms
# Spin magnetization   0.11 μB/cell
# Distance to the lowest polymorph of the same formula   231 meV/atom
# V   70 Å³/f.u.